1.
Below is crystalline Ce3Ir2Pt at its relaxed geometry, with properties calculated at the GGA-PBE level.

- energy of formation from the pure elements (eV/atom) = -0.847

Cell and atoms, written as POSCAR:
```
Ce3Ir2Pt
1.0
8.0820 0.5339 0.3804
1.5232 6.7487 1.2804
1.5232 3.4147 5.9602
Ce Ir Pt
6 4 2
direct
0.2500 0.4996 0.5004 Ce
0.7500 0.5004 0.4996 Ce
0.0866 0.8274 0.8260 Ce
0.4134 0.1740 0.1726 Ce
0.5866 0.8260 0.8274 Ce
0.9134 0.1726 0.1740 Ce
0.5820 0.3354 0.3367 Ir
0.0820 0.3367 0.3354 Ir
0.9180 0.6633 0.6646 Ir
0.4180 0.6646 0.6633 Ir
0.7500 0.0004 0.9996 Pt
0.2500 0.9996 0.0004 Pt
```

---

2.
Below is crystalline Ce5IrPt2 at its relaxed geometry, with properties calculated at the GGA-PBE level.

- energy of formation from the pure elements (eV/atom) = -0.687

Cell and atoms, written as POSCAR:
```
Ce5IrPt2
1.0
4.7541 0.0000 0.0000
-2.3770 5.1400 0.0000
0.0000 0.0000 15.4880
Ce Ir Pt
10 2 4
direct
0.9147 0.8295 0.8850 Ce
0.9147 0.8295 0.6150 Ce
0.4287 0.8574 0.4181 Ce
0.4287 0.8574 0.0819 Ce
0.7727 0.5454 0.2500 Ce
0.2273 0.4546 0.7500 Ce
0.5713 0.1426 0.5819 Ce
0.5713 0.1426 0.9181 Ce
0.0853 0.1705 0.1150 Ce
0.0853 0.1705 0.3850 Ce
0.5416 0.0833 0.7500 Ir
0.4584 0.9167 0.2500 Ir
0.7560 0.5120 0.4342 Pt
0.7560 0.5120 0.0658 Pt
0.2440 0.4880 0.5658 Pt
0.2440 0.4880 0.9342 Pt
```

---

3.
Below is crystalline Ce4Ir2Pt at its relaxed geometry, with properties calculated at the GGA-PBE level.

- energy of formation from the pure elements (eV/atom) = -0.697

Cell and atoms, written as POSCAR:
```
Ce4Ir2Pt
1.0
-1.5427 1.4417 -3.6664
-6.1944 1.4985 3.1957
5.8887 4.2491 1.6342
Ce Ir Pt
4 2 1
direct
0.8626 0.2131 0.7252 Ce
0.1374 0.7869 0.2748 Ce
0.6228 0.3077 0.2456 Ce
0.3772 0.6923 0.7544 Ce
0.7611 0.7582 0.5221 Ir
0.2389 0.2418 0.4779 Ir
0.0000 0.0000 0.0000 Pt
```

---

4.
Below is crystalline Ce6IrPt5 at its relaxed geometry, with properties calculated at the GGA-PBE level.

- energy of formation from the pure elements (eV/atom) = -1.004

Cell and atoms, written as POSCAR:
```
Ce6IrPt5
1.0
-3.9907 0.1076 -5.9100
-0.1640 -6.5295 -2.8766
-5.0854 -4.6166 1.9156
Ce Ir Pt
6 1 5
direct
0.7546 0.0817 0.3265 Ce
0.2454 0.5917 0.3265 Ce
0.2484 0.2436 0.0000 Ce
0.7516 0.7564 0.0000 Ce
0.7546 0.4083 0.6735 Ce
0.2454 0.9183 0.6735 Ce
0.0000 0.0000 0.0000 Ir
0.5000 0.1701 0.6598 Pt
0.0000 0.3339 0.3322 Pt
0.5000 0.5000 0.0000 Pt
0.0000 0.6661 0.6678 Pt
0.5000 0.8299 0.3402 Pt
```

---

5.
Below is crystalline Ce3Ir2Pt at its relaxed geometry, with properties calculated at the GGA-PBE level.

- energy of formation from the pure elements (eV/atom) = -0.628

Cell and atoms, written as POSCAR:
```
Ce3Ir2Pt
1.0
-1.2675 -1.5308 -3.4285
4.7967 -5.5414 2.9912
-7.0783 -3.7989 4.3130
Ce Ir Pt
6 4 2
direct
0.6313 0.2626 0.0592 Ce
0.1351 0.2702 0.7500 Ce
0.6313 0.2626 0.4408 Ce
0.8649 0.7298 0.2500 Ce
0.3687 0.7374 0.9408 Ce
0.3687 0.7374 0.5592 Ce
0.0000 0.0000 0.0000 Ir
0.0000 0.0000 0.5000 Ir
0.4869 0.9738 0.2500 Ir
0.5131 0.0262 0.7500 Ir
0.2306 0.4612 0.2500 Pt
0.7694 0.5388 0.7500 Pt
```

---

6.
Below is crystalline CeIrPt at its relaxed geometry, with properties calculated at the GGA-PBE level.

- energy of formation from the pure elements (eV/atom) = -0.514

Cell and atoms, written as POSCAR:
```
CeIrPt
1.0
-4.2056 -1.9279 -4.4994
3.1836 -5.5832 -0.5834
-3.7183 -2.5998 4.5895
Ir Ce Pt
4 4 4
direct
0.7062 0.7062 0.7062 Ir
0.7938 0.2938 0.2062 Ir
0.2062 0.7938 0.2938 Ir
0.2938 0.2062 0.7938 Ir
0.4485 0.4485 0.4485 Ce
0.0515 0.5515 0.9485 Ce
0.9485 0.0515 0.5515 Ce
0.5515 0.9485 0.0515 Ce
0.0147 0.0147 0.0147 Pt
0.4853 0.9853 0.5147 Pt
0.5147 0.4853 0.9853 Pt
0.9853 0.5147 0.4853 Pt
```

---

7.
Below is crystalline Ce8IrPt5 at its relaxed geometry, with properties calculated at the GGA-PBE level.

- energy of formation from the pure elements (eV/atom) = -0.892

Cell and atoms, written as POSCAR:
```
Ce8IrPt5
1.0
-1.8363 -7.2444 1.6492
6.0468 0.1292 -4.6896
1.6894 3.6769 6.4961
Ce Ir Pt
8 1 5
direct
0.1267 0.7428 0.9935 Ce
0.0065 0.1332 0.7493 Ce
0.7526 0.2546 0.3792 Ce
0.6208 0.3734 0.8755 Ce
0.5020 0.6266 0.2474 Ce
0.6161 0.8668 0.8733 Ce
0.2507 0.2572 0.3839 Ce
0.1245 0.7454 0.4980 Ce
0.2500 0.5000 0.7500 Ir
0.9949 0.3696 0.1218 Pt
0.8782 0.8731 0.2478 Pt
0.7522 0.6304 0.6253 Pt
0.5000 0.0000 0.5000 Pt
0.3747 0.1269 0.0051 Pt
```

---

8.
Below is crystalline CeIr2Pt at its relaxed geometry, with properties calculated at the GGA-PBE level.

- energy of formation from the pure elements (eV/atom) = -0.667

Cell and atoms, written as POSCAR:
```
CeIr2Pt
1.0
4.0391 0.0000 0.0000
0.0000 4.1419 0.0000
0.0000 0.0000 4.1419
Ir Ce Pt
2 1 1
direct
0.0000 0.0000 0.5000 Ir
0.0000 0.5000 0.0000 Ir
0.5000 0.5000 0.5000 Ce
0.5000 0.0000 0.0000 Pt
```

---

no.,size of the total moment (μB per atom)
1,0.0000
2,0.2168
3,0.3644
4,0.2019
5,0.3028
6,0.0000
7,0.3904
8,0.0000